Model w:
Here is a relaxed Li3YF crystal from the Alexandria database. Energies are from PBE-GGA.

POSCAR file:
```
Li3YF
1.0
6.127 0.000 0.000
0.000 6.127 0.000
0.000 0.000 6.127
Li Y F
3 1 1
direct
0.000 0.000 0.500
0.000 0.500 0.000
0.500 0.000 0.000
0.000 0.000 0.000
0.500 0.500 0.500
```

Calculated values
- Space group: No. 221

---

Model x:
Here is a relaxed Li3YF crystal from the Alexandria database. Energies are from PBE-GGA.

POSCAR file:
```
Li3YF
1.0
4.581 0.000 0.000
0.000 4.581 0.000
0.000 0.000 4.581
Li Y F
3 1 1
direct
0.000 0.000 0.500
0.000 0.500 0.000
0.500 0.000 0.000
0.500 0.500 0.500
0.000 0.000 0.000
```

Calculated values
- Space group: No. 221

---

Here are the energies relative to the best structure, in kJ/mol of atoms: model w 124.0; model x 0.0.

---

Model w:
Here is a relaxed Li2YF crystal from the Alexandria database. Energies are from PBE-GGA.

POSCAR file:
```
Li2YF
1.0
0.000 4.359 4.359
4.359 0.000 4.359
4.359 4.359 0.000
Li Y F
4 2 2
direct
0.000 0.000 0.000
0.000 0.000 0.500
0.000 0.500 0.000
0.500 0.000 0.000
0.375 0.375 0.375
0.625 0.625 0.625
0.125 0.125 0.125
0.875 0.875 0.875
```

Calculated values
- Space group: No. 227

---

Model x:
Here is a relaxed Li2YF crystal from the Alexandria database. Energies are from PBE-GGA.

POSCAR file:
```
Li2YF
1.0
0.000 3.473 3.473
3.473 0.000 3.473
3.473 3.473 0.000
Li Y F
2 1 1
direct
0.250 0.250 0.250
0.750 0.750 0.750
0.000 0.000 0.000
0.500 0.500 0.500
```

Calculated values
- Space group: No. 225

---

Here are the energies relative to the best structure, in kJ/mol of atoms: model w 0.0; model x 84.2.

---

Model w:
Here is a relaxed LiYF2 crystal from the Alexandria database. Energies are from PBE-GGA.

POSCAR file:
```
LiYF2
1.0
-3.332 3.332 6.365
3.332 -3.332 6.365
3.332 3.332 -6.365
Li Y F
4 4 8
direct
0.000 0.000 0.000
0.000 0.000 0.500
0.000 0.500 0.000
0.500 0.000 0.500
0.000 0.500 0.500
0.500 0.000 0.000
0.500 0.500 0.000
0.500 0.500 0.500
0.213 0.686 0.527
0.314 0.341 0.527
0.314 0.787 0.973
0.341 0.314 0.027
0.659 0.686 0.973
0.686 0.213 0.027
0.686 0.659 0.473
0.787 0.314 0.473
```

Calculated values
- Space group: No. 141

---

Model x:
Here is a relaxed LiYF2 crystal from the Alexandria database. Energies are from PBE-GGA.

POSCAR file:
```
LiYF2
1.0
-2.556 2.556 5.046
2.556 -2.556 5.046
2.556 2.556 -5.046
Li Y F
2 2 4
direct
0.000 0.000 0.000
0.750 0.250 0.500
0.250 0.750 0.500
0.500 0.500 0.000
0.060 0.625 0.935
0.375 0.310 0.435
0.690 0.125 0.065
0.875 0.940 0.565
```

Calculated values
- Space group: No. 122

---

Model y:
Here is a relaxed LiYF2 crystal from the Alexandria database. Energies are from PBE-GGA.

POSCAR file:
```
LiYF2
1.0
0.000 3.066 3.066
3.066 0.000 3.066
3.066 3.066 0.000
Li Y F
1 1 2
direct
0.000 0.000 0.000
0.500 0.500 0.500
0.250 0.250 0.250
0.750 0.750 0.750
```

Calculated values
- Space group: No. 225

---

Model z:
Here is a relaxed LiYF2 crystal from the Alexandria database. Energies are from PBE-GGA.

POSCAR file:
```
LiYF2
1.0
1.715 0.990 6.417
-1.715 0.990 6.417
0.000 -1.981 6.417
Li Y F
1 1 2
direct
0.000 0.000 0.000
0.500 0.500 0.500
0.387 0.387 0.387
0.613 0.613 0.613
```

Calculated values
- Space group: No. 166

---

Here are the energies relative to the best structure, in kJ/mol of atoms: model w 23.6; model x 25.7; model y 68.1; model z 0.0.

---

Model w:
Here is a relaxed Li2ZnF4 crystal from the Alexandria database. Energies are from PBE-GGA.

POSCAR file:
```
Li2ZnF4
1.0
5.405 -1.601 0.000
5.405 1.601 0.000
-1.547 0.000 4.817
Li Zn F
2 1 4
direct
0.164 0.164 0.074
0.836 0.836 0.926
0.500 0.500 0.500
0.082 0.082 0.347
0.352 0.352 0.136
0.648 0.648 0.864
0.918 0.918 0.653
```

Calculated values
- Space group: No. 12

---

Model x:
Here is a relaxed Li2ZnF4 crystal from the Alexandria database. Energies are from PBE-GGA.

POSCAR file:
```
Li2ZnF4
1.0
-2.028 2.028 5.313
2.028 -2.028 5.313
2.028 2.028 -5.313
Li Zn F
2 1 4
direct
0.145 0.145 0.000
0.855 0.855 0.000
0.500 0.500 0.000
0.000 0.500 0.500
0.313 0.313 0.000
0.500 0.000 0.500
0.687 0.687 0.000
```

Calculated values
- Space group: No. 139

---

Here are the energies relative to the best structure, in kJ/mol of atoms: model w 0.0; model x 18.6.

---

Model w:
Here is a relaxed Li2Zn2F7 crystal from the Alexandria database. Energies are from PBE-GGA.

POSCAR file:
```
Li2Zn2F7
1.0
3.150 -4.587 0.000
3.150 4.587 0.000
-0.762 0.000 5.135
Li Zn F
2 2 7
direct
0.198 0.802 0.000
0.802 0.198 0.000
0.234 0.234 0.632
0.766 0.766 0.368
0.063 0.063 0.267
0.087 0.457 0.798
0.457 0.087 0.798
0.500 0.500 0.500
0.543 0.913 0.202
0.913 0.543 0.202
0.937 0.937 0.733
```

Calculated values
- Space group: No. 12

---

Model x:
Here is a relaxed Li2Zn2F7 crystal from the Alexandria database. Energies are from PBE-GGA.

POSCAR file:
```
Li2Zn2F7
1.0
4.079 -3.263 0.000
4.079 3.263 0.000
-0.565 0.000 5.020
Li Zn F
2 2 7
direct
0.195 0.805 0.000
0.805 0.195 0.000
0.258 0.258 0.538
0.742 0.742 0.462
0.035 0.583 0.744
0.076 0.076 0.758
0.417 0.965 0.256
0.500 0.500 0.500
0.583 0.035 0.744
0.924 0.924 0.242
0.965 0.417 0.256
```

Calculated values
- Space group: No. 12

---

Here are the energies relative to the best structure, in kJ/mol of atoms: model w 0.0; model x 4.3.

---

Model w:
Here is a relaxed Li2ZnF6 crystal from the Alexandria database. Energies are from PBE-GGA.

POSCAR file:
```
Li2ZnF6
1.0
4.655 0.000 0.000
0.000 5.215 0.000
0.000 0.000 8.537
Li Zn F
4 2 12
direct
0.000 0.000 0.187
0.000 0.000 0.813
0.500 0.500 0.313
0.500 0.500 0.687
0.000 0.500 0.000
0.500 0.000 0.500
0.213 0.187 0.000
0.223 0.665 0.164
0.223 0.665 0.836
0.277 0.165 0.336
0.277 0.165 0.664
0.287 0.687 0.500
0.713 0.313 0.500
0.723 0.835 0.336
0.723 0.835 0.664
0.777 0.335 0.164
0.777 0.335 0.836
0.787 0.813 0.000
```

Calculated values
- Space group: No. 58

---

Model x:
Here is a relaxed Li2ZnF6 crystal from the Alexandria database. Energies are from PBE-GGA.

POSCAR file:
```
Li2ZnF6
1.0
4.114 -1.589 0.000
4.114 1.589 0.000
-3.724 0.000 7.906
Li Zn F
2 1 6
direct
0.210 0.210 0.337
0.790 0.790 0.663
0.500 0.500 0.000
0.135 0.135 0.538
0.173 0.173 0.079
0.460 0.460 0.768
0.540 0.540 0.232
0.827 0.827 0.921
0.865 0.865 0.462
```

Calculated values
- Space group: No. 12

---

Here are the energies relative to the best structure, in kJ/mol of atoms: model w 0.0; model x 2.1.

---

Model w:
Here is a relaxed LiZrF5 crystal from the Alexandria database. Energies are from PBE-GGA.

POSCAR file:
```
LiZrF5
1.0
-2.091 3.442 3.881
2.091 -3.442 3.881
2.091 3.442 -3.881
Li Zr F
1 1 5
direct
0.000 0.000 0.000
0.500 0.500 0.000
0.208 0.500 0.708
0.240 0.240 0.000
0.500 0.000 0.500
0.760 0.760 0.000
0.792 0.500 0.292
```

Calculated values
- Space group: No. 71

---

Model x:
Here is a relaxed LiZrF5 crystal from the Alexandria database. Energies are from PBE-GGA.

POSCAR file:
```
LiZrF5
1.0
4.238 -3.894 0.000
4.238 3.894 0.000
-4.053 0.000 7.129
Li Zr F
2 2 10
direct
0.096 0.904 0.750
0.904 0.096 0.250
0.500 0.500 0.000
0.500 0.500 0.500
0.213 0.241 0.857
0.239 0.734 0.563
0.241 0.213 0.357
0.266 0.761 0.937
0.432 0.568 0.250
0.568 0.432 0.750
0.734 0.239 0.063
0.759 0.787 0.643
0.761 0.266 0.437
0.787 0.759 0.143
```

Calculated values
- Space group: No. 15

---

Here are the energies relative to the best structure, in kJ/mol of atoms: model w 4.3; model x 0.0.

---

Model w:
Here is a relaxed Li3ZrF crystal from the Alexandria database. Energies are from PBE-GGA.

POSCAR file:
```
Li3ZrF
1.0
5.604 0.000 0.000
0.000 5.604 0.000
0.000 0.000 5.604
Li Zr F
3 1 1
direct
0.000 0.000 0.500
0.000 0.500 0.000
0.500 0.000 0.000
0.000 0.000 0.000
0.500 0.500 0.500
```

Calculated values
- Space group: No. 221

---

Model x:
Here is a relaxed Li3ZrF crystal from the Alexandria database. Energies are from PBE-GGA.

POSCAR file:
```
Li3ZrF
1.0
4.312 0.000 0.000
0.000 4.312 0.000
0.000 0.000 4.312
Li Zr F
3 1 1
direct
0.000 0.000 0.500
0.000 0.500 0.000
0.500 0.000 0.000
0.500 0.500 0.500
0.000 0.000 0.000
```

Calculated values
- Space group: No. 221

---

Here are the energies relative to the best structure, in kJ/mol of atoms: model w 116.3; model x 0.0.